Below is Li7Mn2Co3O12 after structural relaxation, with properties calculated at the GGA+U level.

a = 7.660 Å, b = 7.660 Å, c = 10.170 Å
α = 70.81°, β = 70.81°, γ = 21.55°
Fractional positions:
Li: 0.833 0.833 0.922
Li: 0.837 0.837 0.420
Li: 0.167 0.167 0.078
Li: 0.511 0.511 0.727
Li: 0.489 0.489 0.273
Li: 0.000 0.000 0.500
Li: 0.163 0.163 0.580
O: 0.908 0.908 0.210
O: 0.407 0.407 0.479
O: 0.245 0.245 0.863
O: 0.755 0.755 0.137
O: 0.908 0.908 0.711
O: 0.593 0.593 0.521
O: 0.092 0.092 0.289
O: 0.092 0.092 0.790
O: 0.245 0.245 0.360
O: 0.582 0.582 0.020
O: 0.755 0.755 0.640
O: 0.418 0.418 0.980
Co: 0.667 0.667 0.829
Co: 0.000 0.000 0.000
Co: 0.333 0.333 0.171
Mn: 0.663 0.663 0.335
Mn: 0.337 0.337 0.665

Results
ΔE to the lowest computed polymorph ... 11 meV per atom
Volume ... 206.5 Å³ per cell
Space group ... C2/m, No. 12
Calculated total energy ... -141.261 eV/cell
Density ... 4.24 g/cm³